Entry from Alexandria: a relaxed Pt4W crystal (PBE).

Summary:
* crystal system: cubic
* raw total energy: -30.17 eV for the cell shown
* space-group type: Pm-3m

POSCAR file:
```
Pt4W
1.0
-4.3418 -1.0447 -1.7041
-1.5823 -0.6934 4.4566
-1.2212 4.6124 0.2840
W Pt
1 4
Direct
0.5000 0.5000 0.5000
0.5000 0.0000 0.5000
0.5000 0.5000 0.0000
0.0000 0.5000 0.5000
0.0000 0.0000 0.0000
```


Entry from Alexandria: a relaxed Pt5W crystal (PBE).

Summary:
* crystal system: hexagonal
* space-group type: P6/mmm
* excess energy over the best structure of this formula in the dataset: 705 meV/atom

POSCAR file:
```
Pt5W
1.0
2.5630 -4.4392 0.0000
2.5630 4.4392 0.0000
0.0000 0.0000 4.6063
W Pt
1 5
Direct
0.0000 0.0000 0.0000
0.6667 0.3333 0.0000
0.0000 0.5000 0.5000
0.5000 0.0000 0.5000
0.3333 0.6667 0.0000
0.5000 0.5000 0.5000
```